1.
Compound: Li3Tm3ZrS8
Source: Alexandria
Functional: PBE-GGA
Structure: relaxed

Computed properties:
SG = No. 166
Total DFT energy (no corrections) = -5.842 eV/atom
Size of the total moment = 0.0 μB/cell
E_form (uncorrected) = -1.794 eV/atom

Cell: 7.589 7.589 7.589 Å, 60.75 60.75 60.75°
Sites, in units of the cell vectors:
Li (0.000, 0.500, 0.500)
Li (0.500, 0.000, 0.500)
Li (0.500, 0.500, 0.000)
Tm (0.000, 0.000, 0.500)
Tm (0.000, 0.500, 0.000)
Tm (0.500, 0.000, 0.000)
Zr (0.500, 0.500, 0.500)
S (0.249, 0.249, 0.249)
S (0.260, 0.260, 0.740)
S (0.260, 0.740, 0.260)
S (0.260, 0.740, 0.740)
S (0.740, 0.260, 0.260)
S (0.740, 0.260, 0.740)
S (0.740, 0.740, 0.260)
S (0.751, 0.751, 0.751)

***

2.
Compound: SrZn3N
Source: Alexandria
Functional: PBE-GGA
Structure: relaxed

Computed properties:
SG = No. 221
Polymorph energy (0 for the lowest one) = 0 meV per atom
Total DFT energy (no corrections) = -2.304 eV/atom
Size of the total moment = 0.0 μB/cell
E_form (uncorrected) = 0.461 eV/atom

Cell: 4.559 4.559 4.559 Å, 90.00 90.00 90.00°
Sites, in units of the cell vectors:
Sr (0.000, 0.000, 0.000)
Zn (0.000, 0.500, 0.500)
Zn (0.500, 0.000, 0.500)
Zn (0.500, 0.500, 0.000)
N (0.500, 0.500, 0.500)

***

3.
Compound: CrFe3
Source: Alexandria
Functional: PBE-GGA
Structure: relaxed

Computed properties:
SG = No. 71
Energy of formation from the pure elements = 0.05 eV per atom
Total DFT energy (no corrections) = -8.703 eV/atom
Size of the total moment = 5.4 μB/cell

Cell: 4.685 4.685 4.685 Å, 143.92 129.87 63.30°
Sites, in units of the cell vectors:
Cr (0.000, 0.000, 0.000)
Fe (0.249, 0.749, 0.500)
Fe (0.500, 0.500, 0.000)
Fe (0.751, 0.251, 0.500)